Record 1
Entry from Alexandria: crystalline Pr2CrSi3Pt12 at its relaxed geometry (PBE).

Properties
Formation energy (no corrections) (eV/atom): -0.445
SG: No. 166

abc: 7.731 7.731 7.731
angles: 64.35 64.35 64.35
Atoms (fractional coordinates):
Pr 0.112 0.112 0.112
Pr 0.888 0.888 0.888
Cr 0.500 0.500 0.500
Si 0.000 0.500 0.500
Si 0.500 0.000 0.500
Si 0.500 0.500 0.000
Pt 0.127 0.628 0.628
Pt 0.147 0.147 0.601
Pt 0.147 0.601 0.147
Pt 0.372 0.372 0.873
Pt 0.372 0.873 0.372
Pt 0.399 0.853 0.853
Pt 0.601 0.147 0.147
Pt 0.628 0.127 0.628
Pt 0.628 0.628 0.127
Pt 0.853 0.399 0.853
Pt 0.853 0.853 0.399
Pt 0.873 0.372 0.372

Record 2
Entry from Alexandria: crystalline Rb2PrCrS4 at its relaxed geometry (PBE).

Properties
Formation energy (no corrections) (eV/atom): -1.146
SG: No. 82

abc: 7.004 7.004 7.004
angles: 115.73 115.73 97.56
Atoms (fractional coordinates):
Rb 0.000 0.000 0.000
Rb 0.750 0.250 0.500
Pr 0.250 0.750 0.500
Cr 0.500 0.500 0.000
S 0.234 0.624 0.065
S 0.376 0.440 0.610
S 0.560 0.169 0.935
S 0.831 0.766 0.390

Record 3
Entry from Alexandria: crystalline Rb3Pr3CrSe8 at its relaxed geometry (PBE).

Properties
Formation energy (no corrections) (eV/atom): -1.376
SG: No. 166

abc: 9.581 9.581 9.581
angles: 52.34 52.34 52.34
Atoms (fractional coordinates):
Rb 0.000 0.500 0.500
Rb 0.500 0.000 0.500
Rb 0.500 0.500 0.000
Pr 0.000 0.000 0.500
Pr 0.000 0.500 0.000
Pr 0.500 0.000 0.000
Cr 0.500 0.500 0.500
Se 0.235 0.235 0.235
Se 0.266 0.708 0.708
Se 0.292 0.292 0.734
Se 0.292 0.734 0.292
Se 0.708 0.266 0.708
Se 0.708 0.708 0.266
Se 0.734 0.292 0.292
Se 0.765 0.765 0.765

> Look up the formation energy (no corrections) of the second one.

-1.146 eV/atom